This record from Alexandria describes a geometry-optimized HfMn2ZnB structure. The functional is PBE-GGA.

Size of the total moment = 7.09 μB/f.u.
VASP energy = -28.65 eV per cell
Crystal system = tetragonal

Lattice parameters (Å, degrees): 4.4220 4.4220 4.9284 90.00 90.00 90.00
Space group P4/mmm (No. 123)
Symmetry-distinct sites (fractional):
Hf 0.0000 0.0000 0.0000 x1
Mn 0.0000 0.5000 0.5000 x2
Zn 0.0000 0.0000 0.5000 x1
B 0.5000 0.5000 0.0000 x1